# CaCdAs

A geometry-optimized CaCdAs structure (PBE-GGA, Alexandria).

```
3
Lattice="4.4305 0.0000 0.0000 -2.2153 3.8369 0.0000 0.0000 0.0000 4.5443" Properties=species:S:1:pos:R:3 pbc="T T T"
Ca 0.0000 0.0000 0.0000
Cd 2.2153 1.2790 1.9711
As 0.0000 2.5580 2.8940
```

As for the space group: P3m1. Its total magnetization is 0.000 μB per atom. The value obtained for the formation energy is -549 meV/atom. The calculation puts the polymorph energy (0 for the lowest one) at 55.0 meV/atom.